Entry from Alexandria via LeMat-Bulk: a relaxed structure of Zn3AgO (GGA-PBEsol).

abc: 4.7715 4.7715 4.7715
angles: 90.00 90.00 90.00
Element x y z (fractional)
Zn (0.0000, 0.0000, 0.5000)
Zn (0.0000, 0.5000, 0.0000)
Zn (0.5000, 0.0000, 0.0000)
Ag (0.0000, 0.0000, 0.0000)
O (0.5000, 0.5000, 0.5000)

Values from the calculation:
* E: -9.4 eV/cell
* E_form (uncorrected): 789 meV/atom

***

Entry from Alexandria via LeMat-Bulk: a relaxed structure of Zr3AgO (GGA-PBEsol).

abc: 4.4081 4.4081 4.4081
angles: 90.00 90.00 90.00
Element x y z (fractional)
Zr (0.0000, 0.0000, 0.5000)
Zr (0.0000, 0.5000, 0.0000)
Zr (0.5000, 0.0000, 0.0000)
Ag (0.5000, 0.5000, 0.5000)
O (0.0000, 0.0000, 0.0000)

Values from the calculation:
* E: -41.5 eV/cell
* E_form (uncorrected): -1126 meV/atom

***

Entry from Alexandria via LeMat-Bulk: a relaxed structure of AgOs (GGA-PBEsol).

abc: 2.6985 2.6985 9.6160
angles: 90.00 90.00 118.16
Element x y z (fractional)
Ag (0.2500, 0.7500, 0.8725)
Ag (0.7500, 0.2500, 0.1275)
Os (0.2500, 0.7500, 0.3875)
Os (0.7500, 0.2500, 0.6125)

Values from the calculation:
* E: -28.8 eV/cell
* ΔH_f (0 K): 0.56 eV/atom
* relative energy among the computed polymorphs: 0 meV per atom

***

Entry from Alexandria via LeMat-Bulk: a relaxed structure of AgOs2 (GGA-PBEsol).

abc: 3.7103 3.7103 4.5573
angles: 90.00 90.00 120.00
Element x y z (fractional)
Ag (0.0000, 0.0000, 0.0000)
Os (0.3333, 0.6667, 0.3905)
Os (0.6667, 0.3333, 0.6095)

Values from the calculation:
* E: -23.8 eV/cell
* ΔH_f (0 K): 1.30 eV/atom
* relative energy among the computed polymorphs: 921 meV per atom

***

Entry from Alexandria via LeMat-Bulk: a relaxed structure of AgOs2 (GGA-PBEsol).

abc: 2.7328 2.7328 6.8923
angles: 90.00 90.00 120.00
Element x y z (fractional)
Ag (0.0000, 0.0000, 0.0000)
Os (0.3333, 0.6667, 0.6477)
Os (0.6667, 0.3333, 0.3523)

Values from the calculation:
* E: -26.6 eV/cell
* ΔH_f (0 K): 0.38 eV/atom
* relative energy among the computed polymorphs: 0 meV per atom

***

Entry from Alexandria via LeMat-Bulk: a relaxed structure of Ag2Os (GGA-PBEsol).

abc: 2.7380 2.7380 7.1043
angles: 90.00 90.00 120.00
Element x y z (fractional)
Ag (0.3333, 0.6667, 0.1688)
Ag (0.6667, 0.3333, 0.8312)
Os (0.0000, 0.0000, 0.5000)

Values from the calculation:
* E: -17.4 eV/cell
* ΔH_f (0 K): 0.47 eV/atom
* relative energy among the computed polymorphs: 0 meV per atom

***

Entry from Alexandria via LeMat-Bulk: a relaxed structure of AgOs (GGA-PBEsol).

abc: 5.4759 5.4759 5.4759
angles: 150.74 128.74 60.12
Element x y z (fractional)
Ag (0.3689, 0.1189, 0.2500)
Ag (0.6311, 0.8811, 0.7500)
Os (0.1090, 0.3590, 0.7500)
Os (0.8910, 0.6410, 0.2500)

Values from the calculation:
* E: -27.9 eV/cell
* ΔH_f (0 K): 0.79 eV/atom
* relative energy among the computed polymorphs: 238 meV per atom

***

Entry from Alexandria via LeMat-Bulk: a relaxed structure of Ag2Os (GGA-PBEsol).

abc: 6.3198 6.3198 3.7887
angles: 90.00 90.00 140.62
Element x y z (fractional)
Ag (0.0872, 0.9128, 0.7500)
Ag (0.2518, 0.7482, 0.2500)
Ag (0.7482, 0.2518, 0.7500)
Ag (0.9128, 0.0872, 0.2500)
Os (0.4366, 0.5634, 0.7500)
Os (0.5634, 0.4366, 0.2500)

Values from the calculation:
* E: -33.7 eV/cell
* ΔH_f (0 K): 0.66 eV/atom
* relative energy among the computed polymorphs: 193 meV per atom

***

no.,density of states at the Fermi level (states/eV/f.u.)
1,3.4
2,3.9
3,2.0
4,2.7
5,3.2
6,2.2
7,1.4
8,3.2